Compound: Li11Mn13O32
Source: the Alexandria database
Functional: PBE with a Hubbard U
Structure: relaxed

a b c (Å): 8.280 8.280 10.103
angles (deg): 66.02 66.02 89.54
Last column: magnetic moment on the atom in μB.
Positions (direct):
O: 0.780 0.506 0.980  -0.14
O: 0.392 0.893 0.238  -0.14
O: 0.032 0.260 0.482  -0.09
Li: 0.824 0.318 0.621  0.00
O: 0.987 0.720 0.023  -0.10
O: 0.358 0.358 0.261  -0.14
O: 0.893 0.392 0.238  -0.14
O: 0.107 0.608 0.762  -0.14
O: 0.393 0.899 0.749  -0.09
O: 0.260 0.032 0.482  -0.09
Mn: 0.878 0.623 0.248  3.17
Mn: 0.625 0.874 0.751  3.19
O: 0.147 0.147 0.735  -0.13
O: 0.518 0.739 0.488  -0.10
Mn: 0.122 0.377 0.752  3.17
O: 0.628 0.628 0.267  -0.09
O: 0.720 0.987 0.023  -0.10
Li: 0.428 0.428 0.885  0.00
Li: 0.318 0.824 0.621  0.00
O: 0.968 0.740 0.518  -0.09
Li: 0.572 0.572 0.115  0.00
Li: 0.929 0.929 0.880  0.00
O: 0.494 0.220 0.020  -0.14
Li: 0.071 0.071 0.120  0.00
O: 0.372 0.372 0.733  -0.09
O: 0.220 0.494 0.020  -0.14
Mn: 0.375 0.126 0.249  3.19
O: 0.506 0.780 0.980  -0.14
Li: 0.176 0.682 0.379  0.00
O: 0.642 0.642 0.739  -0.14
Mn: 0.500 0.500 0.500  3.22
Li: 0.753 0.247 0.000  0.01
Mn: 0.000 0.500 0.000  3.19
O: 0.607 0.101 0.251  -0.09
Mn: 0.874 0.625 0.751  3.19
O: 0.280 0.013 0.977  -0.10
O: 0.482 0.261 0.512  -0.10
O: 0.013 0.280 0.977  -0.10
O: 0.856 0.856 0.747  -0.14
O: 0.101 0.607 0.251  -0.09
O: 0.608 0.107 0.762  -0.14
Mn: 0.500 0.000 0.000  3.19
Li: 0.000 0.000 0.500  0.01
O: 0.899 0.393 0.749  -0.09
Mn: 0.249 0.249 0.497  3.17
Li: 0.247 0.753 0.000  0.01
O: 0.261 0.482 0.512  -0.10
O: 0.853 0.853 0.265  -0.13
O: 0.739 0.518 0.488  -0.10
Mn: 0.623 0.878 0.248  3.17
O: 0.740 0.968 0.518  -0.09
Mn: 0.126 0.375 0.249  3.19
Mn: 0.751 0.751 0.503  3.17
Li: 0.682 0.176 0.379  0.00
Mn: 0.377 0.122 0.752  3.17
O: 0.144 0.144 0.253  -0.14

Output
volume = 10.1 A^3/atom
space-group type = C2/m (12)
crystal system = monoclinic
raw total energy = -6.565 eV/atom